DFT (PBE+U) results for a relaxed structure of Tl3CoF.

As for the energy above the lowest structure with this stoichiometry: 29 meV per atom. The volume is 28.05 A^3/atom.

a b c (Å): 5.195 5.195 5.195
angles (deg): 90.00 90.00 90.00
Site moments in Bohr magnetons follow the coordinates.
Positions (direct):
Tl (0.000, 0.500, 0.000)  -0.01
Tl (0.000, 0.000, 0.500)  -0.01
Tl (0.500, 0.000, 0.000)  -0.01
Co (0.500, 0.500, 0.500)  2.05
F (0.000, 0.000, 0.000)  0.00